i | {"formula": "La5Te4Br", "functional": "PBE", "state": "optimized geometry", "spacegroup": "I4/mmm (139)", "mass_density_g_cm3": 6.44, "dos_ef_per_ev_atom": 0.894, "lattice": [[-2.272, 2.272, 16.036], [2.272, -2.272, 16.036], [2.272, 2.272, -16.036]], "species": ["La", "La", "La", "La", "La", "Te", "Te", "Te", "Te", "Br"], "fractional_positions": [[0.000, 0.000, 0.000], [0.200, 0.200, 0.000], [0.402, 0.402, 0.000], [0.598, 0.598, 0.000], [0.800, 0.800, 0.000], [0.100, 0.100, 0.000], [0.301, 0.301, 0.000], [0.699, 0.699, 0.000], [0.900, 0.900, 0.000], [0.500, 0.500, 0.000]]}

ii | {"formula": "La5Te4Br", "functional": "PBE", "state": "optimized geometry", "spacegroup": "R-3m (166)", "mass_density_g_cm3": 6.49, "dos_ef_per_ev_atom": 0.758, "lattice": [[2.284, 1.319, 18.196], [-2.284, 1.319, 18.196], [0.000, -2.637, 18.196]], "species": ["La", "La", "La", "La", "La", "Te", "Te", "Te", "Te", "Br"], "fractional_positions": [[0.000, 0.000, 0.000], [0.197, 0.197, 0.197], [0.402, 0.402, 0.402], [0.598, 0.598, 0.598], [0.803, 0.803, 0.803], [0.103, 0.103, 0.103], [0.299, 0.299, 0.299], [0.701, 0.701, 0.701], [0.897, 0.897, 0.897], [0.500, 0.500, 0.500]]}

Which of them is least stable? Easy: i.

i | {"formula": "LaTe3Br", "functional": "PBE", "state": "optimized geometry", "spacegroup": "Pm-3m (221)", "mass_density_g_cm3": 4.23, "dos_ef_per_ev_atom": 1.432, "lattice": [[6.181, 0.000, 0.000], [0.000, 6.181, 0.000], [0.000, 0.000, 6.181]], "species": ["La", "Te", "Te", "Te", "Br"], "fractional_positions": [[0.000, 0.000, 0.000], [0.000, 0.000, 0.500], [0.000, 0.500, 0.000], [0.500, 0.000, 0.000], [0.500, 0.500, 0.500]]}

ii | {"formula": "LaTe3Br", "functional": "PBE", "state": "optimized geometry", "spacegroup": "Pm-3m (221)", "mass_density_g_cm3": 5.86, "dos_ef_per_ev_atom": 0.351, "lattice": [[5.545, 0.000, 0.000], [0.000, 5.545, 0.000], [0.000, 0.000, 5.545]], "species": ["La", "Te", "Te", "Te", "Br"], "fractional_positions": [[0.000, 0.000, 0.000], [0.000, 0.500, 0.500], [0.500, 0.000, 0.500], [0.500, 0.500, 0.000], [0.500, 0.500, 0.500]]}

Which of them is least stable? Easy: i.

i | {"formula": "La2ThBr", "functional": "PBE", "state": "optimized geometry", "spacegroup": "P4/mmm (123)", "mass_density_g_cm3": 7.59, "dos_ef_per_ev_atom": 1.211, "lattice": [[3.664, 0.000, 0.000], [0.000, 3.664, 0.000], [0.000, 0.000, 9.615]], "species": ["La", "La", "Th", "Br"], "fractional_positions": [[0.000, 0.000, 0.248], [0.000, 0.000, 0.752], [0.500, 0.500, 0.500], [0.500, 0.500, 0.000]]}

ii | {"formula": "La2ThBr", "functional": "PBE", "state": "optimized geometry", "spacegroup": "R-3m (166)", "mass_density_g_cm3": 7.56, "dos_ef_per_ev_atom": 0.842, "lattice": [[3.771, 0.000, 0.000], [-1.886, 3.266, 0.000], [0.000, 0.000, 31.553]], "species": ["La", "La", "La", "La", "La", "La", "Th", "Th", "Th", "Br", "Br", "Br"], "fractional_positions": [[0.000, 0.000, 0.244], [0.000, 0.000, 0.756], [0.333, 0.667, 0.422], [0.333, 0.667, 0.911], [0.667, 0.333, 0.089], [0.667, 0.333, 0.578], [0.000, 0.000, 0.000], [0.333, 0.667, 0.667], [0.667, 0.333, 0.333], [0.000, 0.000, 0.500], [0.333, 0.667, 0.167], [0.667, 0.333, 0.833]]}

Which of them is least stable? Easy: i.

i | {"formula": "La2TiBr", "functional": "PBE", "state": "optimized geometry", "spacegroup": "Fm-3m (225)", "mass_density_g_cm3": 5.83, "dos_ef_per_ev_atom": 1.109, "lattice": [[7.730, 0.000, 0.000], [0.000, 7.730, 0.000], [0.000, 0.000, 7.730]], "species": ["La", "La", "La", "La", "La", "La", "La", "La", "Ti", "Ti", "Ti", "Ti", "Br", "Br", "Br", "Br"], "fractional_positions": [[0.250, 0.250, 0.250], [0.250, 0.250, 0.750], [0.250, 0.750, 0.250], [0.250, 0.750, 0.750], [0.750, 0.250, 0.250], [0.750, 0.250, 0.750], [0.750, 0.750, 0.250], [0.750, 0.750, 0.750], [0.000, 0.000, 0.000], [0.000, 0.500, 0.500], [0.500, 0.000, 0.500], [0.500, 0.500, 0.000], [0.000, 0.000, 0.500], [0.000, 0.500, 0.000], [0.500, 0.000, 0.000], [0.500, 0.500, 0.500]]}

ii | {"formula": "La2TiBr", "functional": "PBE", "state": "optimized geometry", "spacegroup": "I-42d (122)", "mass_density_g_cm3": 5.54, "dos_ef_per_ev_atom": 1.476, "lattice": [[8.511, 0.000, 0.000], [0.000, 8.511, 0.000], [0.000, 0.000, 6.715]], "species": ["La", "La", "La", "La", "La", "La", "La", "La", "Ti", "Ti", "Ti", "Ti", "Br", "Br", "Br", "Br"], "fractional_positions": [[0.229, 0.250, 0.125], [0.250, 0.729, 0.375], [0.250, 0.771, 0.875], [0.271, 0.250, 0.625], [0.729, 0.750, 0.625], [0.750, 0.229, 0.875], [0.750, 0.271, 0.375], [0.771, 0.750, 0.125], [0.000, 0.000, 0.500], [0.000, 0.500, 0.750], [0.500, 0.000, 0.250], [0.500, 0.500, 0.000], [0.000, 0.000, 0.000], [0.000, 0.500, 0.250], [0.500, 0.000, 0.750], [0.500, 0.500, 0.500]]}

Which of them is least stable? Easy: ii.

i | {"formula": "LaTi2Br", "functional": "PBE", "state": "optimized geometry", "spacegroup": "I-42d (122)", "mass_density_g_cm3": 5.49, "dos_ef_per_ev_atom": 1.200, "lattice": [[8.092, 0.000, 0.000], [0.000, 8.092, 0.000], [0.000, 0.000, 5.815]], "species": ["La", "La", "La", "La", "Ti", "Ti", "Ti", "Ti", "Ti", "Ti", "Ti", "Ti", "Br", "Br", "Br", "Br"], "fractional_positions": [[0.000, 0.000, 0.000], [0.000, 0.500, 0.250], [0.500, 0.000, 0.750], [0.500, 0.500, 0.500], [0.170, 0.250, 0.625], [0.250, 0.670, 0.875], [0.250, 0.830, 0.375], [0.330, 0.250, 0.125], [0.670, 0.750, 0.125], [0.750, 0.170, 0.375], [0.750, 0.330, 0.875], [0.830, 0.750, 0.625], [0.000, 0.000, 0.500], [0.000, 0.500, 0.750], [0.500, 0.000, 0.250], [0.500, 0.500, 0.000]]}

ii | {"formula": "LaTi2Br", "functional": "PBE", "state": "optimized geometry", "spacegroup": "Fm-3m (225)", "mass_density_g_cm3": 6.39, "dos_ef_per_ev_atom": 2.480, "lattice": [[6.888, 0.000, 0.000], [0.000, 6.888, 0.000], [0.000, 0.000, 6.888]], "species": ["La", "La", "La", "La", "Ti", "Ti", "Ti", "Ti", "Ti", "Ti", "Ti", "Ti", "Br", "Br", "Br", "Br"], "fractional_positions": [[0.000, 0.000, 0.000], [0.000, 0.500, 0.500], [0.500, 0.000, 0.500], [0.500, 0.500, 0.000], [0.250, 0.250, 0.250], [0.250, 0.250, 0.750], [0.250, 0.750, 0.250], [0.250, 0.750, 0.750], [0.750, 0.250, 0.250], [0.750, 0.250, 0.750], [0.750, 0.750, 0.250], [0.750, 0.750, 0.750], [0.000, 0.000, 0.500], [0.000, 0.500, 0.000], [0.500, 0.000, 0.000], [0.500, 0.500, 0.500]]}

Which of them is least stable? Easy: ii.

i | {"formula": "LaTi2Br2", "functional": "PBE", "state": "optimized geometry", "spacegroup": "I4/mmm (139)", "mass_density_g_cm3": 5.78, "dos_ef_per_ev_atom": 0.974, "lattice": [[4.990, 0.000, 0.000], [0.000, 4.990, 0.000], [0.000, 0.000, 9.098]], "species": ["La", "La", "Ti", "Ti", "Ti", "Ti", "Br", "Br", "Br", "Br"], "fractional_positions": [[0.000, 0.000, 0.000], [0.500, 0.500, 0.500], [0.000, 0.000, 0.382], [0.000, 0.000, 0.618], [0.500, 0.500, 0.118], [0.500, 0.500, 0.882], [0.000, 0.500, 0.250], [0.000, 0.500, 0.750], [0.500, 0.000, 0.250], [0.500, 0.000, 0.750]]}

ii | {"formula": "LaTi2Br2", "functional": "PBE", "state": "optimized geometry", "spacegroup": "P4/mbm (127)", "mass_density_g_cm3": 6.08, "dos_ef_per_ev_atom": 1.157, "lattice": [[8.145, 0.000, 0.000], [0.000, 8.145, 0.000], [0.000, 0.000, 3.250]], "species": ["La", "La", "Ti", "Ti", "Ti", "Ti", "Br", "Br", "Br", "Br"], "fractional_positions": [[0.000, 0.000, 0.000], [0.500, 0.500, 0.000], [0.118, 0.382, 0.000], [0.382, 0.882, 0.000], [0.618, 0.118, 0.000], [0.882, 0.618, 0.000], [0.163, 0.663, 0.500], [0.337, 0.163, 0.500], [0.663, 0.837, 0.500], [0.837, 0.337, 0.500]]}

Which of them is least stable? Easy: ii.